Model P:
A PBEsol-optimized structure of Re2IrRh. Source: Alexandria, functional SCAN.

Properties
symmetry: Cmmm
M_tot: 0.0 μB per cell
D(E_F): 0.8774 states/eV per atom

Cell lengths 2.684, 4.739, 4.739 Å; angles 110.86, 90.00, 90.00 degrees
Fractional positions:
Ir (0.500, 0.500, 0.500)
Re (0.000, 0.500, 0.000)
Re (0.000, 0.000, 0.500)
Rh (0.500, 0.000, 0.000)

Model Q:
A PBEsol-optimized structure of Re2IrRh. Source: Alexandria, functional SCAN.

Properties
symmetry: Pmm2
M_tot: 0.0 μB per cell
D(E_F): 0.3832 states/eV per atom

Cell lengths 2.705, 4.345, 4.781 Å; angles 90.00, 90.00, 90.00 degrees
Fractional positions:
Re (0.000, 0.000, 0.037)
Re (0.000, 0.500, 0.710)
Ir (0.500, 0.500, 0.211)
Rh (0.500, 0.000, 0.542)

Model R:
A PBEsol-optimized structure of Re2IrRh. Source: Alexandria, functional SCAN.

Properties
symmetry: P4/mmm
M_tot: 0.0 μB per cell
D(E_F): 0.8817 states/eV per atom

Cell lengths 3.292, 3.292, 5.366 Å; angles 90.00, 90.00, 90.00 degrees
Fractional positions:
Ir (0.500, 0.500, 0.500)
Re (0.000, 0.000, 0.746)
Re (0.000, 0.000, 0.254)
Rh (0.500, 0.500, 0.000)

Compare the structures above. Which one is the least stable? model R is.